1.
VSbTeI2: relaxed, PBE-GGA.

a = 5.897 Å, b = 5.897 Å, c = 5.971 Å
α = 90.00°, β = 90.00°, γ = 90.00°
Atoms (fractional coordinates):
V1 0.000 0.000 0.000
Sb1 0.500 0.500 0.500
Te1 0.500 0.500 0.000
I1 0.000 0.500 0.500
I2 0.500 0.000 0.500

Calculated values
- Density of states at the Fermi level: 1.19 states/eV/atom
- E_form (uncorrected): 0.718 eV per atom
- Magnetization: 0.77 μB per atom
- Relative energy among the computed polymorphs: 0.458 eV/atom

2.
FeHIrRh2: relaxed, PBE-GGA.

a = 3.879 Å, b = 3.879 Å, c = 3.894 Å
α = 90.00°, β = 90.00°, γ = 90.00°
Atoms (fractional coordinates):
Fe1 0.000 0.000 0.000
H1 0.500 0.500 0.500
Ir1 0.500 0.500 0.000
Rh1 0.000 0.500 0.500
Rh2 0.500 0.000 0.500

Calculated values
- Density of states at the Fermi level: 0.51 states/eV/atom
- Magnetization: 0.81 μB per atom
- Relative energy among the computed polymorphs: 0.000 eV/atom

3.
HfPaCuRe: relaxed, PBE-GGA.

a = 4.762 Å, b = 4.762 Å, c = 4.762 Å
α = 60.00°, β = 60.00°, γ = 60.00°
Atoms (fractional coordinates):
Hf1 0.000 0.000 0.000
Pa1 0.500 0.500 0.500
Cu1 0.250 0.250 0.250
Re1 0.750 0.750 0.750

Calculated values
- Formation energy: -4.8 kJ per mole of atoms
- Density of states at the Fermi level: 1.08 states/eV/atom
- Magnetization: 0.00 μB per atom

4.
ThAlCrGe2: relaxed, PBE-GGA.

a = 5.528 Å, b = 5.880 Å, c = 5.781 Å
α = 90.00°, β = 90.00°, γ = 90.00°
Atoms (fractional coordinates):
Th1 0.250 0.000 0.228
Th2 0.750 0.000 0.772
Al1 0.250 0.500 0.366
Al2 0.750 0.500 0.634
Cr1 0.000 0.500 0.000
Cr2 0.500 0.500 0.000
Ge1 0.250 0.247 0.736
Ge2 0.250 0.753 0.736
Ge3 0.750 0.247 0.264
Ge4 0.750 0.753 0.264

Calculated values
- Formation energy: -31.1 kJ per mole of atoms
- Density of states at the Fermi level: 0.62 states/eV/atom
- Magnetization: 0.00 μB per atom